No. 1
First-principles (PBEsol) data for a geometry-optimized MgScSb structure, as listed in Alexandria via LeMat-Bulk.

Geometry as extended XYZ:
```
3
Lattice="-0.8455 -0.7966 3.1154 -2.9308 -2.3009 -1.3837 5.0874 -2.4357 -1.0164" Properties=species:S:1:pos:R:3 pbc="T T T"
Sc -0.7763 -2.9334 0.8135
Sb 2.1189 -2.6389 -0.0997
Mg 1.2798 -5.4942 0.7168
```

Calculated values
Formation energy without anion corrections ... -102 kJ/mol of formula units
DOS at the Fermi energy ... 0.985 states/eV/atom

***

No. 2
First-principles (PBEsol) data for a geometry-optimized ScGeSbI2 structure, as listed in Alexandria via LeMat-Bulk.

Geometry as extended XYZ:
```
5
Lattice="-3.0898 -0.2123 -4.4060 -4.3316 -0.8703 3.0796 -0.8534 5.4383 0.3364" Properties=species:S:1:pos:R:3 pbc="T T T"
I -2.1658 -0.4351 1.5398
I -1.5449 -0.1061 -2.2030
Sb -0.4267 2.7191 0.1682
Ge 0.0000 0.0000 0.0000
Sc -4.1374 2.1779 -0.4950
```

Calculated values
Formation energy without anion corrections ... 139 kJ/mol of formula units
DOS at the Fermi energy ... 0.698 states/eV/atom

***

No. 3
First-principles (PBEsol) data for a geometry-optimized ZnSnAs2 structure, as listed in Alexandria via LeMat-Bulk.

Geometry as extended XYZ:
```
4
Lattice="-0.9215 4.0286 -0.3750 -2.4452 -0.2481 3.3434 4.5060 1.3468 3.3955" Properties=species:S:1:pos:R:3 pbc="T T T"
Zn 0.0000 0.0000 0.0000
As -0.2203 0.1755 2.4270
As 3.0430 3.0615 2.4528
Sn 0.5696 2.5636 3.1820
```

Calculated values
Offset from the most stable computed form ... 3 meV/atom
Calculated formation energy ... -0.6 eV/f.u.
DOS at the Fermi energy ... 0.033 states/eV/atom

***

No. 4
First-principles (PBEsol) data for a geometry-optimized CdIn4I6 structure, as listed in Alexandria via LeMat-Bulk.

Geometry as extended XYZ:
```
22
Lattice="8.7501 0.0000 0.0000 0.0000 8.7501 0.0000 0.0000 0.0000 9.6703" Properties=species:S:1:pos:R:3 pbc="T T T"
Cd 0.0000 0.0000 0.0000
Cd 4.3750 4.3750 4.8352
In 7.5268 5.5984 7.2527
In 7.5268 5.5984 2.4176
In 5.5984 1.2233 7.2527
In 5.5984 1.2233 2.4176
In 1.2233 3.1517 2.4176
In 1.2233 3.1517 7.2527
In 3.1517 7.5268 2.4176
In 3.1517 7.5268 7.2527
I 7.4179 2.7234 0.0000
I 1.3322 6.0267 0.0000
I 6.0267 7.4179 0.0000
I 0.0000 0.0000 2.8545
I 1.6516 5.7072 4.8352
I 5.7072 7.0985 4.8352
I 0.0000 0.0000 6.8158
I 4.3750 4.3750 1.9806
I 7.0985 3.0429 4.8352
I 3.0429 1.6516 4.8352
I 4.3750 4.3750 7.6897
I 2.7234 1.3322 0.0000
```

Calculated values
Formation energy without anion corrections ... -483 kJ/mol of formula units

***

No. 5
First-principles (PBEsol) data for a geometry-optimized Co5W structure, as listed in Alexandria via LeMat-Bulk.

Geometry as extended XYZ:
```
6
Lattice="3.9813 0.0000 0.0000 0.0000 4.3505 0.0000 0.0000 -2.1752 3.7676" Properties=species:S:1:pos:R:3 pbc="T T T"
Co 0.0000 0.7652 1.3254
Co 0.0000 2.8200 0.0000
Co 0.0000 -1.4100 2.4422
Co 1.9907 0.0000 2.5118
Co 1.9907 2.1753 1.2559
W 1.9907 0.0000 0.0000
```

Calculated values
Offset from the most stable computed form ... 0 meV/atom
Calculated formation energy ... -0.1 eV/f.u.
DOS at the Fermi energy ... 0.895 states/eV/atom

***

No. 6
First-principles (PBEsol) data for a geometry-optimized Mn2ZnHO structure, as listed in Alexandria via LeMat-Bulk.

Geometry as extended XYZ:
```
5
Lattice="-2.4325 2.2672 -1.5918 -3.1379 -3.5726 -0.2934 -1.7230 1.1613 4.2871" Properties=species:S:1:pos:R:3 pbc="T T T"
H -3.6467 -0.0721 1.2009
Zn 0.0000 0.0000 0.0000
Mn -0.8615 0.5806 2.1435
Mn -1.5690 -1.7863 -0.1467
O -1.2162 1.1336 -0.7959
```

Calculated values
Raw total energy ... -24.05 eV per cell
DOS at the Fermi energy ... 0.690 states/eV/atom

***

No. 7
First-principles (PBEsol) data for a geometry-optimized LiInMo2O8 structure, as listed in Alexandria via LeMat-Bulk.

Geometry as extended XYZ:
```
24
Lattice="4.9812 0.0070 0.0085 -0.1348 7.4585 0.0091 -0.1348 -1.4028 7.3254" Properties=species:S:1:pos:R:3 pbc="T T T"
Li 3.6011 2.2871 4.2895
Li 1.1105 3.7756 3.0534
In 1.1105 -0.5804 6.6500
In 3.6011 6.6431 0.6930
Mo 3.5412 5.8290 4.2122
Mo 3.6610 3.0335 0.8263
Mo 1.1704 0.2337 3.1308
Mo 1.0506 3.0292 6.5167
O 1.9255 1.7652 3.1975
O 0.2954 3.2536 5.0002
O 0.0470 5.5882 3.2542
O 2.1739 3.9215 1.2356
O 2.7860 4.2975 4.1455
O 4.4161 2.8091 2.3428
O 1.6941 4.7377 6.9019
O 0.5268 0.1788 1.3803
O 3.0174 1.3250 0.4411
O 4.1847 5.8839 5.9627
O 0.1601 1.2710 6.9511
O 2.0609 -0.5257 4.7750
O 4.5515 4.7917 0.3918
O 2.6507 6.5884 2.5679
O 2.5376 2.1412 6.1074
O 4.6645 0.4745 4.0887
```

Calculated values
Formation energy without anion corrections ... -2281 kJ/mol of formula units
DOS at the Fermi energy ... 0.000 states/eV/atom

***

No. 8
First-principles (PBEsol) data for a geometry-optimized Ba2YMg structure, as listed in Alexandria via LeMat-Bulk.

Geometry as extended XYZ:
```
4
Lattice="4.0444 0.0000 0.0000 0.0000 4.0444 0.0000 0.0000 0.0000 9.8715" Properties=species:S:1:pos:R:3 pbc="T T T"
Ba 0.0000 0.0000 9.4811
Ba 2.0222 2.0222 3.0172
Mg 0.0000 0.0000 5.3278
Y 2.0222 2.0222 6.8527
```

Calculated values
Calculated formation energy ... 0.2 eV/f.u.
DOS at the Fermi energy ... 1.454 states/eV/atom

***

No. 9
First-principles (PBEsol) data for a geometry-optimized MoSe3F structure, as listed in Alexandria via LeMat-Bulk.

Geometry as extended XYZ:
```
5
Lattice="4.5153 0.0000 0.0000 0.0000 4.5153 0.0000 0.0000 0.0000 4.5153" Properties=species:S:1:pos:R:3 pbc="T T T"
Mo 2.2576 2.2576 2.2576
Se 0.0000 2.2576 0.0000
Se 0.0000 0.0000 2.2576
Se 2.2576 0.0000 0.0000
F 0.0000 0.0000 0.0000
```

Calculated values
Formation energy without anion corrections ... 370 kJ/mol of formula units
DOS at the Fermi energy ... 0.898 states/eV/atom

***

No. 10
First-principles (PBEsol) data for a geometry-optimized K2AgI3 structure, as listed in Alexandria via LeMat-Bulk.

Geometry as extended XYZ:
```
24
Lattice="4.7034 0.0000 0.0000 0.0000 9.9018 0.0000 0.0000 0.0000 19.2419" Properties=species:S:1:pos:R:3 pbc="T T T"
K 1.1759 2.5136 8.8736
K 3.5276 7.3882 10.3683
K 1.1759 7.4645 0.7474
K 3.5276 2.4373 18.4945
K 1.1759 5.7135 15.1618
K 3.5276 9.1392 5.5409
K 1.1759 0.7626 13.7010
K 3.5276 4.1883 4.0801
Ag 3.5276 3.6210 12.2479
Ag 3.5276 8.5719 16.6149
Ag 1.1759 6.2808 6.9940
Ag 1.1759 1.3299 2.6270
I 1.1759 0.0486 17.3180
I 3.5276 4.9023 7.6971
I 3.5276 8.0129 13.8720
I 1.1759 6.8398 4.2511
I 3.5276 6.0915 17.8934
I 1.1759 3.8103 1.3485
I 3.5276 9.8532 1.9239
I 1.1759 8.7612 8.2724
I 3.5276 1.1406 10.9695
I 1.1759 1.8889 5.3699
I 3.5276 3.0620 14.9908
I 1.1759 4.9995 11.5449
```

Calculated values
Formation energy without anion corrections ... -603 kJ/mol of formula units
DOS at the Fermi energy ... 0.000 states/eV/atom

***

No. 11
First-principles (PBEsol) data for a geometry-optimized CaTaTc2 structure, as listed in Alexandria via LeMat-Bulk.

Geometry as extended XYZ:
```
4
Lattice="2.6963 0.0026 0.0040 -0.9976 5.2389 -0.0274 -0.9976 -2.2005 4.7544" Properties=species:S:1:pos:R:3 pbc="T T T"
Ca 1.3482 0.0013 0.0020
Tc -0.4988 2.6195 -0.0137
Tc -0.4988 -1.1003 2.3772
Ta 0.3506 1.5205 2.3655
```

Calculated values
Offset from the most stable computed form ... 126 meV/atom
Calculated formation energy ... 2.0 eV/f.u.
DOS at the Fermi energy ... 0.864 states/eV/atom

***

No. 12
First-principles (PBEsol) data for a geometry-optimized TaBeP2O structure, as listed in Alexandria via LeMat-Bulk.

Geometry as extended XYZ:
```
5
Lattice="2.8291 0.0000 0.0000 0.0000 4.7926 0.0000 0.0000 0.0000 4.7926" Properties=species:S:1:pos:R:3 pbc="T T T"
P 0.0000 0.0000 2.3963
P 0.0000 2.3963 0.0000
Be 0.0000 0.0000 0.0000
O 1.4146 0.0000 0.0000
Ta 1.4146 2.3963 2.3963
```

Calculated values
Formation energy without anion corrections ... -122 kJ/mol of formula units
DOS at the Fermi energy ... 0.581 states/eV/atom